1.
A plane-wave DFT calculation with PBE was carried out for a geometry-optimized RbTaBr6 structure.

Results
* calculated total energy: -3.99 eV per atom
* offset from the most stable computed form: 0.008 eV per atom
* total moment: 0.0 Bohr magnetons per cell
* volume: 36.19 A^3/atom

Cell and atoms, written as POSCAR:
```
RbTaBr6
1.0
-4.379 2.133 4.692
-3.630 0.803 -5.650
-0.090 -6.809 0.869
Br Rb Ta
6 1 1
direct
0.723 0.723 0.055 Br
0.934 0.276 0.275 Br
0.724 0.066 0.725 Br
0.277 0.277 0.945 Br
0.276 0.934 0.275 Br
0.066 0.724 0.725 Br
0.500 0.500 0.500 Rb
0.000 0.000 0.000 Ta
```

2.
A plane-wave DFT calculation with PBE was carried out for a geometry-optimized ScNbSiNi structure.

Results
* calculated total energy: -6.94 eV per atom
* offset from the most stable computed form: 0.000 eV per atom
* total moment: 0.5 Bohr magnetons per cell
* volume: 15.13 A^3/atom

Cell and atoms, written as POSCAR:
```
ScNbSiNi
1.0
0.000 3.116 3.116
3.116 0.000 3.116
3.116 3.116 0.000
Si Sc Nb Ni
1 1 1 1
direct
0.000 0.000 0.000 Si
0.500 0.500 0.500 Sc
0.250 0.250 0.250 Nb
0.750 0.750 0.750 Ni
```

3.
A plane-wave DFT calculation with PBE was carried out for a geometry-optimized YNb2Hg structure.

Results
* calculated total energy: -6.52 eV per atom
* formation enthalpy at 0 K: 0.2148 eV/atom
* total moment: 0.0 Bohr magnetons per cell
* volume: 20.97 A^3/atom

Cell and atoms, written as POSCAR:
```
YNb2Hg
1.0
-4.632 1.169 -1.152
-2.613 2.907 2.977
-1.105 4.582 -1.389
Hg Y Nb
1 1 2
direct
0.250 0.250 0.250 Hg
0.000 0.000 0.000 Y
0.500 0.500 0.500 Nb
0.750 0.750 0.750 Nb
```

4.
A plane-wave DFT calculation with PBE was carried out for a geometry-optimized ZnReB2 structure.

Results
* calculated total energy: -5.28 eV per atom
* total moment: 0.0 Bohr magnetons per cell
* volume: 10.90 A^3/atom

Cell and atoms, written as POSCAR:
```
ZnReB2
1.0
2.783 -0.205 2.797
2.092 3.216 0.944
-0.567 1.773 3.485
Re Zn B
1 1 2
direct
0.500 0.500 0.500 Re
0.250 0.250 0.250 Zn
0.000 0.000 0.000 B
0.750 0.750 0.750 B
```

> What is the volume in the fourth record?

10.90 A^3/atom

> Among the records above, which one has the highest volume?

RbTaBr6

> calculated total energy of number 3 (YNb2Hg)?

-6.52 eV per atom

> Number 3 is which compound?

YNb2Hg